Record 1
Density functional theory data (PBE) for an optimized crystal structure of Th2OsC. Values from VASP.

Summary:
The value obtained for the final energy is -8.880 eV/atom. The spin magnetization comes out at 0.00 μB per formula unit. The calculation puts the energy above the lowest structure with this stoichiometry at 0.196 eV/atom. The value obtained for the energy of formation is -0.057 eV per atom.

Quantum ESPRESSO input file:
```
&SYSTEM
  ibrav = 0, nat = 4, ntyp = 3
/
ATOMIC_SPECIES
Th 232.04 Th.upf
Os 190.23 Os.upf
C 12.01 C.upf
ATOMIC_POSITIONS angstrom
Th 0.000 0.000 4.751
Th 0.000 0.000 14.767
Os 0.000 0.000 0.000
C 0.000 0.000 9.759
CELL_PARAMETERS angstrom
1.975 1.141 6.506
-1.975 1.141 6.506
0.000 -2.281 6.506
```

=====

Record 2
Density functional theory data (PBE) for an optimized crystal structure of PmPr4Zn. Values from VASP.

Summary:
The value obtained for the final energy is -4.284 eV/atom. The spin magnetization comes out at 0.00 μB per formula unit. The calculation puts the energy above the lowest structure with this stoichiometry at 0.000 eV/atom. The value obtained for the energy of formation is -0.094 eV per atom.

Quantum ESPRESSO input file:
```
&SYSTEM
  ibrav = 0, nat = 6, ntyp = 3
/
ATOMIC_SPECIES
Pm 145.00 Pm.upf
Pr 140.91 Pr.upf
Zn 65.41 Zn.upf
ATOMIC_POSITIONS angstrom
Pm 0.000 0.000 0.000
Pr 0.000 0.000 5.237
Pr 0.000 0.000 8.926
Pr 1.854 1.854 2.581
Pr 1.854 1.854 11.582
Zn 1.854 1.854 7.081
CELL_PARAMETERS angstrom
3.708 0.000 0.000
0.000 3.708 0.000
0.000 0.000 14.163
```